Crystalline ThMg2Bi at its relaxed geometry, computed with PBE-GGA.

- Polymorph energy (0 for the lowest one): 1.820 eV per formula unit
- Size of the total moment: 0.000 μB/atom
- Density: 6.9 g cm⁻³
- DOS(E_F): 3.359 states/eV per cell
- ΔH_f (0 K): 22 kJ/mol of atoms

Cell: 3.4100 3.4100 11.8733 Å, 81.74 81.74 60.00°
Closest atoms and distances in Å follow each position.
Atoms (fractional coordinates):
Th  0.0000  0.0000  0.0000  2 Mg 3.23, 6 Th 3.41
Mg  0.0921  0.0921  0.7238  1 Th 3.23, 3 Bi 3.28, 6 Mg 3.41
Mg  0.9079  0.9079  0.2762  1 Th 3.23, 3 Bi 3.28, 6 Mg 3.41
Bi  0.5000  0.5000  0.5000  6 Mg 3.28, 6 Bi 3.41

Crystalline SrLiPb at its relaxed geometry, computed with PBE-GGA.

- Size of the total moment: 0.000 μB/atom
- Density: 5.4 g cm⁻³
- DOS(E_F): 2.961 states/eV per cell
- ΔH_f (0 K): -39 kJ/mol of atoms

Cell: 4.9037 4.9037 8.4177 Å, 106.93 106.93 90.00°
Closest atoms and distances in Å follow each position.
Atoms (fractional coordinates):
Sr  0.3334  0.3334  0.6667  5 Pb 3.47-3.59, 4 Li 3.54
Sr  0.6666  0.6666  0.3333  5 Pb 3.47-3.59, 4 Li 3.54
Pb  0.1069  0.1069  0.2138  4 Li 2.95, 1 Pb 3.28
Pb  0.8931  0.8931  0.7862  4 Li 2.95, 1 Pb 3.28
Li  0.5000  0.0000  0.0000  4 Pb 2.95
Li  0.0000  0.5000  0.0000  4 Pb 2.95

Crystalline Sc2CdP at its relaxed geometry, computed with PBE-GGA.

- Polymorph energy (0 for the lowest one): 3.722 eV per formula unit
- Size of the total moment: 0.063 μB/atom
- Density: 4.8 g cm⁻³
- DOS(E_F): 5.136 states/eV per cell
- ΔH_f (0 K): 10 kJ/mol of atoms

Cell: 4.8651 4.8651 4.8651 Å, 60.00 60.00 60.00°
Closest atoms and distances in Å follow each position.
Atoms (fractional coordinates):
Sc  0.7500  0.7500  0.7500  4 Sc 2.98, 4 Cd 2.98
Sc  0.0000  0.0000  0.0000  4 Sc 2.98, 4 P 2.98
Cd  0.5000  0.5000  0.5000  4 Sc 2.98, 4 P 2.98
P  0.2500  0.2500  0.2500  4 Cd 2.98, 4 Sc 2.98

Crystalline KBiB2 at its relaxed geometry, computed with PBE-GGA.

- Size of the total moment: 0.000 μB/atom
- Density: 4.5 g cm⁻³
- DOS(E_F): 4.069 states/eV per cell
- ΔH_f (0 K): 144 kJ/mol of atoms

Cell: 7.4282 7.4282 6.3504 Å, 54.21 54.21 90.00°
Closest atoms and distances in Å follow each position.
Atoms (fractional coordinates):
B  0.8750  0.9434  0.7500  2 Bi 2.46
B  0.0566  0.6250  0.2500  2 Bi 2.46
B  0.6934  0.1250  0.2500  2 Bi 2.46
B  0.3750  0.3066  0.7500  2 Bi 2.46
K  0.5000  0.5000  0.0000  4 B 3.14
K  0.2500  0.7500  0.5000  4 B 3.14
Bi  0.0000  0.0000  0.0000  4 B 2.46
Bi  0.7500  0.2500  0.5000  4 B 2.46